Material: Ta2GaCo
Method: DFT, PBE
State: optimized geometry

Summary:
* electronic total energy: -8.27 eV per atom

abc: 4.4556 4.4556 4.4556
angles: 60.00 60.00 60.00
Each line ends with the local moment (μB).
Atoms (fractional coordinates):
Ta 0.7500 0.7500 0.7500  0.72
Ta 0.0000 0.0000 0.0000  0.22
Ga 0.5000 0.5000 0.5000  0.01
Co 0.2500 0.2500 0.2500  1.01